Entry from Alexandria: a relaxed structure of BeInCoNF (PBE+U).

Values from the calculation:
**Offset from the most stable computed form**: 10.05 kJ/mol of atoms
**Calculated density**: 5181 kg/m3
**DFT total energy**: -25.1 eV/cell

Cell: 2.780 2.988 9.442 Å, 90.95 94.80 117.55°
Space group P1 (No. 1)
Symmetry-distinct sites (fractional):
1 Be 0.000 0.000 0.000 (multiplicity 1)
2 In 0.681 0.092 0.485 (multiplicity 1)
3 Co 0.917 0.710 0.229 (multiplicity 1)
4 N 0.213 0.350 0.144 (multiplicity 1)
5 F 0.446 0.941 0.914 (multiplicity 1)